1.
First-principles (PBE-GGA) data for crystalline ScFeCl2 at its relaxed geometry, as listed in Alexandria via LeMat-Bulk.

Structure (CIF):
```
data_ScFeCl2
_chemical_formula_sum 'Sc1 Fe1 Cl2'
_cell_length_a 4.326
_cell_length_b 3.287
_cell_length_c 5.304
_cell_angle_alpha 90.00
_cell_angle_beta 113.80
_cell_angle_gamma 90.00
_space_group_name_H-M_alt 'P 1 2/m 1'
_space_group_IT_number 10
_space_group_name_Hall '-P 2y'
loop_
_atom_site_label
_atom_site_type_symbol
_atom_site_fract_x
_atom_site_fract_y
_atom_site_fract_z
Sc1 Sc 0.000 0.000 0.000
Fe1 Fe 0.500 0.500 0.500
Cl1 Cl 0.000 0.000 0.500
Cl2 Cl 0.500 0.500 0.000
```

Summary:
Formation energy (no corrections), eV per atom: -0.47

2.
First-principles (PBE-GGA) data for crystalline ScFe2Cl at its relaxed geometry, as listed in Alexandria via LeMat-Bulk.

Structure (CIF):
```
data_ScFe2Cl
_chemical_formula_sum 'Sc2 Fe4 Cl2'
_cell_length_a 4.150
_cell_length_b 4.150
_cell_length_c 7.297
_cell_angle_alpha 90.00
_cell_angle_beta 90.00
_cell_angle_gamma 90.00
_space_group_name_H-M_alt 'I -4 m 2'
_space_group_IT_number 119
_space_group_name_Hall 'I -4 -2'
loop_
_atom_site_label
_atom_site_type_symbol
_atom_site_fract_x
_atom_site_fract_y
_atom_site_fract_z
Sc1 Sc 0.000 0.000 0.000
Fe1 Fe 0.000 0.000 0.500
Fe2 Fe 0.000 0.500 0.250
Cl1 Cl 0.000 0.500 0.750
```

Summary:
Formation energy (no corrections), eV per atom: 0.26

no.,polymorph energy (0 for the lowest one) (eV per atom)
1,0.424
2,0.531